Record 1
The following is a DFT calculation (PBE) of a relaxed structure of TlInHgCl.

abc: 5.4755 5.4755 5.4755
angles: 60.00 60.00 60.00
Fractional positions:
Tl: 0.0000 0.0000 0.0000
In: 0.5000 0.5000 0.5000
Hg: 0.2500 0.2500 0.2500
Cl: 0.7500 0.7500 0.7500

- Electronic total energy: -2.103 eV/atom
- Spin magnetization: 0.0000 μB per atom

Record 2
The following is a DFT calculation (PBE) of a relaxed structure of AcNpTe3Pd.

abc: 8.8290 4.4409 9.8167
angles: 90.00 102.47 90.00
Fractional positions:
Ac: 0.1688 0.2500 0.2658
Ac: 0.8312 0.7500 0.7342
Np: 0.3322 0.7500 0.8354
Np: 0.6678 0.2500 0.1646
Te: 0.1021 0.2500 0.8774
Te: 0.2448 0.7500 0.5226
Te: 0.4192 0.7500 0.1662
Te: 0.5808 0.2500 0.8338
Te: 0.7552 0.2500 0.4774
Te: 0.8979 0.7500 0.1226
Pd: 0.0821 0.2500 0.5931
Pd: 0.9179 0.7500 0.4069

- Electronic total energy: -6.259 eV/atom
- Spin magnetization: 0.6634 μB per atom

Record 3
The following is a DFT calculation (PBE) of a relaxed structure of YLuP.

abc: 3.8618 3.8618 6.2435
angles: 90.00 90.00 120.00
Fractional positions:
Y: 0.0000 0.0000 0.0000
Lu: 0.3333 0.6667 0.5030
P: 0.6667 0.3333 0.2585

- Electronic total energy: -6.433 eV/atom
- Spin magnetization: 0.0179 μB per atom
- Formation energy: -93.42 kJ/mol of atoms

Record 4
The following is a DFT calculation (PBE) of a relaxed structure of Li3U3PaSe8.

abc: 8.0887 8.0887 8.0887
angles: 59.92 59.92 59.92
Fractional positions:
Li: 0.0000 0.5000 0.5000
Li: 0.5000 0.0000 0.5000
Li: 0.5000 0.5000 0.0000
U: 0.0000 0.0000 0.5000
U: 0.0000 0.5000 0.0000
U: 0.5000 0.0000 0.0000
Pa: 0.5000 0.5000 0.5000
Se: 0.2495 0.2495 0.7452
Se: 0.2495 0.7452 0.2495
Se: 0.2534 0.2534 0.2534
Se: 0.2548 0.7505 0.7505
Se: 0.7452 0.2495 0.2495
Se: 0.7466 0.7466 0.7466
Se: 0.7505 0.2548 0.7505
Se: 0.7505 0.7505 0.2548

- Electronic total energy: -6.349 eV/atom
- Spin magnetization: 0.6676 μB per atom